Record 1
8
Lattice="4.019 0.000 0.000 0.000 4.019 0.000 0.000 0.000 7.672" Properties=species:S:1:pos:R:3 comment="Mg2MnCo (PBE, optimized geometry)" formation_enthalpy_0k_mev_per_atom=214 final_energy_ev_per_atom=-4.6518 rho_g_cm3=4.4 pbc="T T T"
Mg 0.000 0.000 0.000
Mg 0.000 2.010 1.918
Mg 2.010 0.000 5.754
Mg 2.010 2.010 3.836
Mn 0.000 0.000 3.836
Mn 2.010 2.010 0.000
Co 0.000 2.010 5.754
Co 2.010 0.000 1.918


Record 2
10
Lattice="6.947 0.000 0.000 -3.473 6.016 0.000 0.000 0.000 5.826" Properties=species:S:1:pos:R:3 comment="Ce3NiSn (PBE, optimized geometry)" formation_enthalpy_0k_mev_per_atom=-411 final_energy_ev_per_atom=-5.9279 rho_g_cm3=8.2 pbc="T T T"
Ce 0.000 2.346 1.457
Ce -1.441 4.843 1.457
Ce 2.032 1.173 4.370
Ce 1.441 4.843 1.457
Ce 4.915 1.173 4.370
Ce 3.473 3.670 4.370
Ni 0.000 0.000 0.000
Ni 0.000 0.000 2.913
Sn 0.000 4.011 4.370
Sn 3.473 2.005 1.457


Calculated energy above the lowest structure with this stoichiometry, 131; 0 meV per atom (same order as the records).